1.
Compound: Ti8CuN4
Source: Alexandria via LeMat-Bulk
Functional: PBE
Structure: optimized geometry

The space group is C2/m (No. 12) and the conventional cell measures 14.542, 3.030 and 10.141 Å, with angles of 90.00, 133.04 and 90.00 degrees. The distinct sites, in fractional coordinates, are Ti at (0.041, 0.000, 0.214), Ti at (0.146, 0.500, 0.105), Ti at (0.152, 0.500, 0.830), Ti at (0.189, 0.500, 0.550), Cu at (0.000, 0.000, 0.500), N at (0.151, 0.000, 0.968) and N at (0.177, 0.500, 0.334).

The calculation puts the formation energy without anion corrections at -1161 meV/atom. Its total DFT energy (no corrections) is -8.896 eV per atom. As for the density of states at the Fermi level: 0.76 states/eV per atom.

***

2.
Compound: RbIr3F
Source: Alexandria via LeMat-Bulk
Functional: PBE
Structure: optimized geometry

The space group is Pm-3m (No. 221) and the conventional cell measures 4.532, 4.532 and 4.532 Å, with angles of 90.00, 90.00 and 90.00 degrees. The distinct sites, in fractional coordinates, are Rb at (0.000, 0.000, 0.000), Ir at (0.000, 0.500, 0.500) and F at (0.500, 0.500, 0.500).

The calculation puts the formation energy without anion corrections at 1667 meV/atom. Its total DFT energy (no corrections) is -4.217 eV per atom. As for the density of states at the Fermi level: 1.74 states/eV per atom. The offset from the most stable computed form comes out at 0.000 eV/atom.

***

3.
Compound: CsBS2
Source: Alexandria via LeMat-Bulk
Functional: PBE
Structure: optimized geometry

The space group is R3m (No. 160, hexagonal axes) and the conventional cell measures 3.5750, 3.5750 and 25.2879 Å, with angles of 90.00, 90.00 and 120.00 degrees. The distinct sites, in fractional coordinates, are Cs at (0.0000, 0.0000, 0.0000), B at (0.0000, 0.0000, 0.5054), S at (0.0000, 0.0000, 0.1386) and S at (0.0000, 0.0000, 0.5745).

The calculation puts the formation energy without anion corrections at -110 meV/atom. Its total DFT energy (no corrections) is -4.056 eV per atom. As for the density of states at the Fermi level: 0.00 states/eV per atom. The offset from the most stable computed form comes out at 0.778 eV/atom.

***

4.
Compound: Ac2SmPt2
Source: Alexandria via LeMat-Bulk
Functional: PBE
Structure: optimized geometry

The space group is Ibam (No. 72) and the conventional cell measures 8.377, 11.420 and 6.609 Å, with angles of 90.00, 90.00 and 90.00 degrees. The distinct sites, in fractional coordinates, are Ac at (0.138, 0.153, 0.000), Sm at (0.000, 0.500, 0.250) and Pt at (0.238, 0.102, 0.500).

Its total DFT energy (no corrections) is -5.908 eV per atom. As for the formation energy from the elements: -87.27 kJ/mol of atoms. As for the density of states at the Fermi level: 0.98 states/eV per atom.

***

5.
Compound: AgSbC3
Source: Alexandria via LeMat-Bulk
Functional: PBE
Structure: optimized geometry

The space group is Pm-3m (No. 221) and the conventional cell measures 4.279, 4.279 and 4.279 Å, with angles of 90.00, 90.00 and 90.00 degrees. The distinct sites, in fractional coordinates, are Ag at (0.000, 0.000, 0.000), Sb at (0.500, 0.500, 0.500) and C at (0.000, 0.500, 0.500).

The calculation puts the formation energy without anion corrections at 2904 meV/atom. Its total DFT energy (no corrections) is -4.025 eV per atom. As for the density of states at the Fermi level: 0.31 states/eV per atom. The offset from the most stable computed form comes out at 0.000 eV/atom.

***

6.
Compound: Tm4HgPd7
Source: Alexandria via LeMat-Bulk
Functional: PBE
Structure: optimized geometry

The space group is C2/m (No. 12) and the conventional cell measures 10.768, 5.188 and 10.277 Å, with angles of 90.00, 119.67 and 90.00 degrees. The distinct sites, in fractional coordinates, are Tm at (0.094, 0.000, 0.287), Tm at (0.212, 0.500, 0.135), Hg at (0.000, 0.500, 0.500), Pd at (0.000, 0.000, 0.500), Pd at (0.075, 0.500, 0.817), Pd at (0.132, 0.000, 0.020) and Pd at (0.210, 0.500, 0.405).

Its total DFT energy (no corrections) is -5.204 eV per atom. As for the formation energy from the elements: -63.65 kJ/mol of atoms. As for the density of states at the Fermi level: 0.45 states/eV per atom.